Material: Co2RhS4
Method: DFT, PBE-GGA
State: relaxed

abc: 6.7081 6.7081 6.7081
angles: 120.21 119.79 90.00
Last column: nearest neighbours and their distance in Å.
Element x y z (fractional)
Co1 0.6247 0.8747 0.7500  4 S 2.12-2.14
Co2 0.3753 0.1253 0.2500  4 S 2.12-2.14
Co3 0.0000 0.0000 0.5000  6 S 2.27-2.30
Co4 0.0000 0.5000 0.0000  6 S 2.27-2.30
Rh1 0.0000 0.5000 0.5000  6 S 2.36-2.38
Rh2 0.5000 0.5000 0.0000  6 S 2.36-2.38
S1 0.2395 0.2421 0.5026  2 Co 2.12-2.27, 2 Rh 2.36
S2 0.7658 0.2497 0.5162  3 Co 2.14-2.30, 1 Rh 2.38
S3 0.2395 0.7369 0.9974  2 Co 2.12-2.27, 2 Rh 2.36
S4 0.2335 0.2497 0.9838  3 Co 2.14-2.30, 1 Rh 2.38
S5 0.7665 0.7503 0.0162  3 Co 2.14-2.30, 1 Rh 2.38
S6 0.7605 0.2631 0.0026  2 Co 2.12-2.27, 2 Rh 2.36
S7 0.2342 0.7503 0.4838  3 Co 2.14-2.30, 1 Rh 2.38
S8 0.7605 0.7579 0.4974  2 Co 2.12-2.27, 2 Rh 2.36

## Properties
- E_form (uncorrected) (kcal/mol of atoms) = -9.73
- space-group type = Imma (74)
- energy above the most stable polymorph in this dataset (meV per atom) = 0